No. 1
VASP calculation (PBE-GGA) on an optimized crystal structure of TaCd2Rh.

## Properties
* D(E_F): 3.7 states/eV/f.u.
* DFT total energy: -20.28 eV per cell
* formation energy from the elements: 0.76 eV/f.u.
* symmetry: P4/mmm

Cell and atoms, written as POSCAR:
```
TaCd2Rh
1.0
3.951 0.000 0.000
0.000 3.951 0.000
0.000 0.000 4.643
Ta Cd Rh
1 2 1
Direct
0.000 0.000 0.000
0.000 0.500 0.500
0.500 0.000 0.500
0.500 0.500 0.000
```

=====

No. 2
VASP calculation (PBE-GGA) on an optimized crystal structure of TaCd2Rh.

## Properties
* D(E_F): 2.6 states/eV/f.u.
* DFT total energy: -20.06 eV per cell
* formation energy from the elements: 0.98 eV/f.u.
* symmetry: I4/mmm

Cell and atoms, written as POSCAR:
```
TaCd2Rh
1.0
-2.009 2.009 4.498
2.009 -2.009 4.498
2.009 2.009 -4.498
Ta Cd Rh
1 2 1
Direct
0.000 0.000 0.000
0.250 0.750 0.500
0.750 0.250 0.500
0.500 0.500 0.000
```

=====

No. 3
VASP calculation (PBE-GGA) on an optimized crystal structure of Ta2CdRh3.

## Properties
* D(E_F): 4.5 states/eV/f.u.
* DFT total energy: -49.16 eV per cell
* formation energy from the elements: -2.48 eV/f.u.
* symmetry: P4/mmm

Cell and atoms, written as POSCAR:
```
Ta2CdRh3
1.0
2.993 0.000 0.000
0.000 2.993 0.000
0.000 0.000 11.054
Ta Cd Rh
2 1 3
Direct
0.000 0.000 0.169
0.000 0.000 0.831
0.000 0.000 0.500
0.500 0.500 0.000
0.500 0.500 0.317
0.500 0.500 0.683
```

=====

No. 4
VASP calculation (PBE-GGA) on an optimized crystal structure of TaCdRh2.

## Properties
* D(E_F): 2.1 states/eV/f.u.
* DFT total energy: -54.30 eV per cell
* formation energy from the elements: 0.32 eV/f.u.
* symmetry: I-42d

Cell and atoms, written as POSCAR:
```
TaCdRh2
1.0
-3.556 3.556 2.909
3.556 -3.556 2.909
3.556 3.556 -2.909
Ta Cd Rh
2 2 4
Direct
0.000 0.000 0.000
0.750 0.250 0.500
0.250 0.750 0.500
0.500 0.500 0.000
0.092 0.625 0.967
0.375 0.342 0.467
0.658 0.125 0.033
0.875 0.908 0.533
```

=====

No. 5
VASP calculation (PBE-GGA) on an optimized crystal structure of TaCd2Rh.

## Properties
* D(E_F): 4.0 states/eV/f.u.
* DFT total energy: -37.39 eV per cell
* formation energy from the elements: 2.34 eV/f.u.
* symmetry: I-42d

Cell and atoms, written as POSCAR:
```
TaCd2Rh
1.0
-3.849 3.849 2.664
3.849 -3.849 2.664
3.849 3.849 -2.664
Ta Cd Rh
2 4 2
Direct
0.000 0.000 0.000
0.750 0.250 0.500
0.146 0.625 0.021
0.375 0.396 0.521
0.604 0.125 0.979
0.875 0.854 0.479
0.250 0.750 0.500
0.500 0.500 0.000
```

=====

No. 6
VASP calculation (PBE-GGA) on an optimized crystal structure of TaCdRh2.

## Properties
* D(E_F): 2.0 states/eV/f.u.
* DFT total energy: -28.48 eV per cell
* formation energy from the elements: -1.01 eV/f.u.
* symmetry: Imm2

Cell and atoms, written as POSCAR:
```
TaCdRh2
1.0
-1.891 1.949 4.384
1.891 -1.949 4.384
1.891 1.949 -4.384
Ta Cd Rh
1 1 2
Direct
0.000 0.000 0.000
0.748 0.248 0.500
0.242 0.742 0.500
0.497 0.497 0.000
```

=====

No. 7
VASP calculation (PBE-GGA) on an optimized crystal structure of TaCdRh2.

## Properties
* D(E_F): 5.6 states/eV/f.u.
* DFT total energy: -27.43 eV per cell
* formation energy from the elements: 0.04 eV/f.u.
* symmetry: P4mm

Cell and atoms, written as POSCAR:
```
TaCdRh2
1.0
2.853 0.000 0.000
0.000 2.853 0.000
0.000 0.000 8.142
Ta Cd Rh
1 1 2
Direct
0.000 0.000 0.000
0.500 0.500 0.291
0.000 0.000 0.539
0.500 0.500 0.771
```

=====

No. 8
VASP calculation (PBE-GGA) on an optimized crystal structure of Tb2CdRh3.

## Properties
* D(E_F): 1.8 states/eV/f.u.
* DFT total energy: -72.60 eV per cell
* formation energy from the elements: -4.07 eV/f.u.
* symmetry: P-3m1

Cell and atoms, written as POSCAR:
```
Tb2CdRh3
1.0
4.750 0.000 0.000
-2.375 4.114 0.000
0.000 0.000 11.664
Tb Cd Rh
4 2 6
Direct
0.000 0.000 0.000
0.000 0.000 0.500
0.333 0.667 0.181
0.667 0.333 0.819
0.333 0.667 0.666
0.667 0.333 0.334
0.000 0.000 0.249
0.000 0.000 0.751
0.333 0.667 0.421
0.333 0.667 0.917
0.667 0.333 0.083
0.667 0.333 0.579
```

=====

No. 9
VASP calculation (PBE-GGA) on an optimized crystal structure of TbCd4Rh2.

## Properties
* D(E_F): 3.3 states/eV/f.u.
* DFT total energy: -24.60 eV per cell
* formation energy from the elements: -1.61 eV/f.u.
* symmetry: Cmmm

Cell and atoms, written as POSCAR:
```
TbCd4Rh2
1.0
2.095 -8.491 0.000
2.095 8.491 0.000
0.000 0.000 4.179
Tb Cd Rh
1 4 2
Direct
0.000 0.000 0.000
0.178 0.822 0.500
0.324 0.676 0.000
0.676 0.324 0.000
0.822 0.178 0.500
0.428 0.572 0.500
0.572 0.428 0.500
```

=====

No. 10
VASP calculation (PBE-GGA) on an optimized crystal structure of TbCd11Rh.

## Properties
* D(E_F): 5.6 states/eV/f.u.
* DFT total energy: -23.55 eV per cell
* formation energy from the elements: -1.50 eV/f.u.
* symmetry: C2/m

Cell and atoms, written as POSCAR:
```
TbCd11Rh
1.0
2.837 -7.143 0.000
2.837 7.143 0.000
-2.796 0.000 7.009
Tb Cd Rh
1 11 1
Direct
0.000 0.000 0.000
0.000 0.500 0.000
0.005 0.669 0.643
0.281 0.486 0.787
0.331 0.995 0.357
0.486 0.281 0.787
0.500 0.000 0.000
0.500 0.500 0.500
0.514 0.719 0.213
0.669 0.005 0.643
0.719 0.514 0.213
0.995 0.331 0.357
0.000 0.000 0.500
```

=====

No. 11
VASP calculation (PBE-GGA) on an optimized crystal structure of TbCdRh2.

## Properties
* D(E_F): 1.8 states/eV/f.u.
* DFT total energy: -22.30 eV per cell
* formation energy from the elements: -2.05 eV/f.u.
* symmetry: P4/mmm

Cell and atoms, written as POSCAR:
```
TbCdRh2
1.0
3.384 0.000 0.000
0.000 3.384 0.000
0.000 0.000 6.453
Tb Cd Rh
1 1 2
Direct
0.000 0.000 0.000
0.000 0.000 0.500
0.500 0.500 0.259
0.500 0.500 0.741
```

=====

No. 12
VASP calculation (PBE-GGA) on an optimized crystal structure of TbCdRh.

## Properties
* D(E_F): 1.5 states/eV/f.u.
* DFT total energy: -28.97 eV per cell
* formation energy from the elements: -1.59 eV/f.u.
* symmetry: P6_3/mmc

Cell and atoms, written as POSCAR:
```
TbCdRh
1.0
5.002 0.000 0.000
-2.501 4.332 0.000
0.000 0.000 5.804
Tb Cd Rh
2 2 2
Direct
0.333 0.667 0.250
0.667 0.333 0.750
0.000 0.000 0.000
0.000 0.000 0.500
0.333 0.667 0.750
0.667 0.333 0.250
```

=====

No. 13
VASP calculation (PBE-GGA) on an optimized crystal structure of Tb6CdRh2.

## Properties
* D(E_F): 8.5 states/eV/f.u.
* DFT total energy: -96.06 eV per cell
* formation energy from the elements: -4.63 eV/f.u.
* symmetry: Immm

Cell and atoms, written as POSCAR:
```
Tb6CdRh2
1.0
-4.706 4.812 5.220
4.706 -4.812 5.220
4.706 4.812 -5.220
Tb Cd Rh
12 2 4
Direct
0.039 0.238 0.801
0.181 0.286 0.467
0.181 0.714 0.895
0.327 0.020 0.693
0.327 0.635 0.307
0.437 0.238 0.199
0.563 0.762 0.801
0.673 0.365 0.693
0.673 0.980 0.307
0.819 0.286 0.105
0.819 0.714 0.533
0.961 0.762 0.199
0.000 0.000 0.000
0.500 0.500 0.000
0.131 0.631 0.500
0.333 0.000 0.333
0.667 0.000 0.667
0.869 0.369 0.500
```

=====

No. 14
VASP calculation (PBE-GGA) on an optimized crystal structure of Tb4CdRh3.

## Properties
* D(E_F): 6.5 states/eV/f.u.
* DFT total energy: -46.85 eV per cell
* formation energy from the elements: -5.35 eV/f.u.
* symmetry: P4/mmm

Cell and atoms, written as POSCAR:
```
Tb4CdRh3
1.0
4.925 0.000 0.000
0.000 4.925 0.000
0.000 0.000 7.176
Tb Cd Rh
4 1 3
Direct
0.000 0.500 0.236
0.000 0.500 0.764
0.500 0.000 0.236
0.500 0.000 0.764
0.000 0.000 0.500
0.000 0.000 0.000
0.500 0.500 0.000
0.500 0.500 0.500
```